Record 1
Compound: Na4Sr
Source: Alexandria via LeMat-Bulk
Functional: PBE
Structure: optimized geometry

Values from the calculation:
Energy above the lowest structure with this stoichiometry (eV/atom): 0.4396
Calculated density (g/cm³): 0.9
Formation enthalpy at 0 K (meV/atom): 510

Unit cell a=6.876 b=6.876 c=6.876 alpha=90.00 beta=90.00 gamma=90.00
Space group Pm-3m (No. 221)
Asymmetric unit:
Na (0.000, 0.000, 0.000)
Na (0.000, 0.500, 0.500)
Sr (0.500, 0.500, 0.500)

Record 2
Compound: Na3Sr
Source: Alexandria via LeMat-Bulk
Functional: PBE
Structure: optimized geometry

Values from the calculation:
Calculated density (g/cm³): 1.5
Formation enthalpy at 0 K (meV/atom): 59

Unit cell a=5.536 b=5.536 c=5.536 alpha=90.00 beta=90.00 gamma=90.00
Space group Pm-3m (No. 221)
Asymmetric unit:
Na (0.000, 0.000, 0.500)
Sr (0.500, 0.500, 0.500)

Record 3
Compound: NaSr3
Source: Alexandria via LeMat-Bulk
Functional: PBE
Structure: optimized geometry

Values from the calculation:
Calculated density (g/cm³): 2.3
Formation enthalpy at 0 K (meV/atom): 60

Unit cell a=9.377 b=9.377 c=9.377 alpha=90.00 beta=90.00 gamma=90.00
Space group Fm-3m (No. 225)
Asymmetric unit:
Na (0.000, 0.000, 0.000)
Sr (0.000, 0.000, 0.500)
Sr (0.250, 0.250, 0.250)

Record 4
Compound: Na5Sr
Source: Alexandria via LeMat-Bulk
Functional: PBE
Structure: optimized geometry

Values from the calculation:
Energy above the lowest structure with this stoichiometry (eV/atom): 0.0073
Calculated density (g/cm³): 1.4
Formation enthalpy at 0 K (meV/atom): 43

Unit cell a=6.0396 b=6.0396 c=7.7213 alpha=90.00 beta=90.00 gamma=120.00
Space group P6/mmm (No. 191)
Asymmetric unit:
Na (0.0000, 0.0000, 0.0000)
Na (0.3333, 0.6667, 0.2366)
Sr (0.0000, 0.0000, 0.5000)